[1]
DFT (PBE-GGA) results for a relaxed structure of RbSb4Se6.

```
data_RbSb4Se6
_cell_length_a 7.229
_cell_length_b 7.229
_cell_length_c 21.613
_cell_angle_alpha 90.00
_cell_angle_beta 90.00
_cell_angle_gamma 144.76
_space_group_name_H-M_alt 'P 1'
_space_group_IT_number 1
loop_
_space_group_symop_operation_xyz
'x,y,z'
loop_
_atom_site_label
_atom_site_type_symbol
_atom_site_fract_x
_atom_site_fract_y
_atom_site_fract_z
Rb1 Rb 0.156 0.844 0.750
Rb2 Rb 0.844 0.156 0.250
Sb1 Sb 0.091 0.909 0.133
Sb2 Sb 0.091 0.909 0.367
Sb3 Sb 0.364 0.636 0.039
Sb4 Sb 0.364 0.636 0.461
Sb5 Sb 0.636 0.364 0.539
Sb6 Sb 0.636 0.364 0.961
Sb7 Sb 0.909 0.091 0.633
Sb8 Sb 0.909 0.091 0.867
Se1 Se 0.000 0.000 0.000
Se2 Se 0.000 0.000 0.500
Se3 Se 0.159 0.841 0.250
Se4 Se 0.256 0.744 0.583
Se5 Se 0.256 0.744 0.917
Se6 Se 0.469 0.531 0.151
Se7 Se 0.469 0.531 0.349
Se8 Se 0.531 0.469 0.651
Se9 Se 0.531 0.469 0.849
Se10 Se 0.744 0.256 0.083
Se11 Se 0.744 0.256 0.417
Se12 Se 0.841 0.159 0.750
```

Energy above the most stable polymorph in this dataset, kcal/mol of atoms: 0.00
ρ, g/cm³: 5.33
Magnetic moment, Bohr magnetons per cell: 0.00
SG: Cmcm (63)

---

[2]
DFT (PBE-GGA) results for a relaxed structure of Rb2Sb3Se8.

```
data_Rb2Sb3Se8
_cell_length_a 9.413
_cell_length_b 9.413
_cell_length_c 6.846
_cell_angle_alpha 103.86
_cell_angle_beta 103.86
_cell_angle_gamma 49.73
_space_group_name_H-M_alt 'P 1'
_space_group_IT_number 1
loop_
_space_group_symop_operation_xyz
'x,y,z'
loop_
_atom_site_label
_atom_site_type_symbol
_atom_site_fract_x
_atom_site_fract_y
_atom_site_fract_z
Rb1 Rb 0.242 0.242 0.168
Rb2 Rb 0.758 0.758 0.832
Sb1 Sb 0.242 0.758 0.500
Sb2 Sb 0.500 0.500 0.000
Sb3 Sb 0.758 0.242 0.500
Se1 Se 0.108 0.108 0.472
Se2 Se 0.168 0.655 0.110
Se3 Se 0.345 0.832 0.890
Se4 Se 0.402 0.402 0.614
Se5 Se 0.598 0.598 0.386
Se6 Se 0.655 0.168 0.110
Se7 Se 0.832 0.345 0.890
Se8 Se 0.892 0.892 0.528
```

ρ, g/cm³: 4.34
Magnetic moment, Bohr magnetons per cell: 0.00
SG: C2/m (12)

---

[3]
DFT (PBE-GGA) results for a relaxed structure of RbSb2Se3.

```
data_RbSb2Se3
_cell_length_a 7.994
_cell_length_b 7.994
_cell_length_c 6.994
_cell_angle_alpha 90.00
_cell_angle_beta 90.00
_cell_angle_gamma 86.40
_space_group_name_H-M_alt 'P 1'
_space_group_IT_number 1
loop_
_space_group_symop_operation_xyz
'x,y,z'
loop_
_atom_site_label
_atom_site_type_symbol
_atom_site_fract_x
_atom_site_fract_y
_atom_site_fract_z
Rb1 Rb 0.171 0.829 0.750
Rb2 Rb 0.829 0.171 0.250
Sb1 Sb 0.315 0.315 0.000
Sb2 Sb 0.315 0.315 0.500
Sb3 Sb 0.685 0.685 0.000
Sb4 Sb 0.685 0.685 0.500
Se1 Se 0.052 0.330 0.750
Se2 Se 0.330 0.052 0.250
Se3 Se 0.419 0.581 0.250
Se4 Se 0.581 0.419 0.750
Se5 Se 0.670 0.948 0.750
Se6 Se 0.948 0.670 0.250
```

Energy above the most stable polymorph in this dataset, kcal/mol of atoms: 2.09
ρ, g/cm³: 4.21
Magnetic moment, Bohr magnetons per cell: 0.00
SG: Cmcm (63)

---

[4]
DFT (PBE-GGA) results for a relaxed structure of RbSb2Se2.

```
data_RbSb2Se2
_cell_length_a 5.726
_cell_length_b 5.726
_cell_length_c 9.882
_cell_angle_alpha 90.00
_cell_angle_beta 90.00
_cell_angle_gamma 90.00
_space_group_name_H-M_alt 'P 1'
_space_group_IT_number 1
loop_
_space_group_symop_operation_xyz
'x,y,z'
loop_
_atom_site_label
_atom_site_type_symbol
_atom_site_fract_x
_atom_site_fract_y
_atom_site_fract_z
Rb1 Rb 0.000 0.000 0.000
Rb2 Rb 0.500 0.500 0.500
Sb1 Sb 0.000 0.000 0.346
Sb2 Sb 0.000 0.000 0.654
Sb3 Sb 0.500 0.500 0.154
Sb4 Sb 0.500 0.500 0.846
Se1 Se 0.000 0.500 0.250
Se2 Se 0.000 0.500 0.750
Se3 Se 0.500 0.000 0.250
Se4 Se 0.500 0.000 0.750
```

Energy above the most stable polymorph in this dataset, kcal/mol of atoms: 0.00
ρ, g/cm³: 4.99
Magnetic moment, Bohr magnetons per cell: 0.00
SG: I4/mmm (139)

---

[5]
DFT (PBE-GGA) results for a relaxed structure of Rb2SbSe2.

```
data_Rb2SbSe2
_cell_length_a 8.958
_cell_length_b 8.958
_cell_length_c 8.958
_cell_angle_alpha 133.60
_cell_angle_beta 76.34
_cell_angle_gamma 123.12
_space_group_name_H-M_alt 'P 1'
_space_group_IT_number 1
loop_
_space_group_symop_operation_xyz
'x,y,z'
loop_
_atom_site_label
_atom_site_type_symbol
_atom_site_fract_x
_atom_site_fract_y
_atom_site_fract_z
Rb1 Rb 0.145 0.160 0.305
Rb2 Rb 0.355 0.660 0.015
Rb3 Rb 0.645 0.340 0.985
Rb4 Rb 0.855 0.840 0.695
Sb1 Sb 0.250 0.750 0.500
Sb2 Sb 0.750 0.250 0.500
Se1 Se 0.108 0.671 0.779
Se2 Se 0.392 0.171 0.563
Se3 Se 0.608 0.829 0.437
Se4 Se 0.892 0.329 0.221
```

ρ, g/cm³: 3.53
Magnetic moment, Bohr magnetons per cell: 0.00
SG: Ibam (72)

---

[6]
DFT (PBE-GGA) results for a relaxed structure of Rb3Sb2Se4.

```
data_Rb3Sb2Se4
_cell_length_a 9.584
_cell_length_b 9.584
_cell_length_c 9.572
_cell_angle_alpha 93.13
_cell_angle_beta 93.13
_cell_angle_gamma 59.32
_space_group_name_H-M_alt 'P 1'
_space_group_IT_number 1
loop_
_space_group_symop_operation_xyz
'x,y,z'
loop_
_atom_site_label
_atom_site_type_symbol
_atom_site_fract_x
_atom_site_fract_y
_atom_site_fract_z
Rb1 Rb 0.033 0.967 0.750
Rb2 Rb 0.263 0.477 0.123
Rb3 Rb 0.477 0.263 0.623
Rb4 Rb 0.523 0.737 0.377
Rb5 Rb 0.737 0.523 0.877
Rb6 Rb 0.967 0.033 0.250
Sb1 Sb 0.051 0.336 0.552
Sb2 Sb 0.336 0.051 0.052
Sb3 Sb 0.664 0.949 0.948
Sb4 Sb 0.949 0.664 0.448
Se1 Se 0.162 0.244 0.853
Se2 Se 0.214 0.665 0.479
Se3 Se 0.244 0.162 0.353
Se4 Se 0.335 0.786 0.021
Se5 Se 0.665 0.214 0.979
Se6 Se 0.756 0.838 0.647
Se7 Se 0.786 0.335 0.521
Se8 Se 0.838 0.756 0.147
```

Energy above the most stable polymorph in this dataset, kcal/mol of atoms: 0.00
ρ, g/cm³: 3.59
Magnetic moment, Bohr magnetons per cell: 0.00
SG: C2/c (15)

---

Number 1: D(E_F) 1.64 states/eV/f.u., formation energy from raw total energies -0.3720 eV/atom. Number 2: D(E_F) 4.47 states/eV/f.u., formation energy from raw total energies -0.3560 eV/atom. Number 3: D(E_F) 0.62 states/eV/f.u., formation energy from raw total energies -0.3284 eV/atom. Number 4: D(E_F) 3.04 states/eV/f.u., formation energy from raw total energies -0.2909 eV/atom. Number 5: D(E_F) 3.45 states/eV/f.u., formation energy from raw total energies -0.6329 eV/atom. Number 6: D(E_F) 2.01 states/eV/f.u., formation energy from raw total energies -0.7488 eV/atom.